Entry 1:
# PBE HoSc2Ga2Ag2, relaxed
data_HoSc2Ga2Ag2
_cell_length_a 4.524
_cell_length_b 4.524
_cell_length_c 8.800
_cell_angle_alpha 75.10
_cell_angle_beta 75.10
_cell_angle_gamma 60.00
_space_group_name_H-M_alt 'P 1'
_space_group_IT_number 1
loop_
_space_group_symop_operation_xyz
'x,y,z'
loop_
_atom_site_label
_atom_site_fract_x
_atom_site_fract_y
_atom_site_fract_z
Ag1 0.407 0.407 0.778
Ag2 0.593 0.593 0.222
Sc1 0.871 0.871 0.387
Sc2 0.129 0.129 0.613
Ga1 0.251 0.251 0.246
Ga2 0.749 0.749 0.754
Ho1 0.000 0.000 0.000
# * density of states at the Fermi level: 0.479 states/eV/atom
# * formation energy: -0.37 eV/atom
# * calculated volume: 21.28 Å³/atom
# * mass density: 6.80 g/cm³

Entry 2:
# PBE TlSb2Pb2, relaxed
data_TlSb2Pb2
_cell_length_a 8.324
_cell_length_b 8.324
_cell_length_c 7.496
_cell_angle_alpha 121.24
_cell_angle_beta 121.24
_cell_angle_gamma 86.54
_space_group_name_H-M_alt 'P 1'
_space_group_IT_number 1
loop_
_space_group_symop_operation_xyz
'x,y,z'
loop_
_atom_site_label
_atom_site_fract_x
_atom_site_fract_y
_atom_site_fract_z
Sb1 0.156 0.844 0.750
Sb2 0.590 0.410 0.750
Sb3 0.410 0.590 0.250
Sb4 0.844 0.156 0.250
Tl1 0.127 0.873 0.250
Tl2 0.873 0.127 0.750
Pb1 0.449 0.197 0.905
Pb2 0.551 0.803 0.095
Pb3 0.803 0.551 0.595
Pb4 0.197 0.449 0.405
# * formation energy (no corrections): 0.11 eV/atom
# * density of states at the Fermi level: 0.545 states/eV/atom
# * calculated volume: 36.39 Å³/atom
# * mass density: 7.87 g/cm³

Entry 3:
# PBE Zr2TePt2, relaxed
data_Zr2TePt2
_cell_length_a 7.729
_cell_length_b 7.729
_cell_length_c 3.522
_cell_angle_alpha 90.00
_cell_angle_beta 90.00
_cell_angle_gamma 90.00
_space_group_name_H-M_alt 'P 1'
_space_group_IT_number 1
loop_
_space_group_symop_operation_xyz
'x,y,z'
loop_
_atom_site_label
_atom_site_fract_x
_atom_site_fract_y
_atom_site_fract_z
Zr1 0.160 0.340 0.000
Zr2 0.840 0.660 0.000
Zr3 0.340 0.840 0.000
Zr4 0.660 0.160 0.000
Te1 0.500 0.500 0.000
Te2 0.000 0.000 0.000
Pt1 0.870 0.370 0.500
Pt2 0.130 0.630 0.500
Pt3 0.630 0.870 0.500
Pt4 0.370 0.130 0.500
# * formation energy (no corrections): -0.76 eV/atom
# * density of states at the Fermi level: 0.806 states/eV/atom
# * calculated volume: 21.04 Å³/atom
# * mass density: 11.05 g/cm³

Entry 4:
# PBE Ca2HgCl, relaxed
data_Ca2HgCl
_cell_length_a 5.632
_cell_length_b 5.632
_cell_length_c 5.632
_cell_angle_alpha 60.00
_cell_angle_beta 60.00
_cell_angle_gamma 60.00
_space_group_name_H-M_alt 'P 1'
_space_group_IT_number 1
loop_
_space_group_symop_operation_xyz
'x,y,z'
loop_
_atom_site_label
_atom_site_fract_x
_atom_site_fract_y
_atom_site_fract_z
Ca1 0.000 0.000 0.000
Ca2 0.250 0.250 0.250
Cl1 0.500 0.500 0.500
Hg1 0.750 0.750 0.750
# * formation energy (no corrections): -0.34 eV/atom
# * density of states at the Fermi level: 0.948 states/eV/atom
# * calculated volume: 31.58 Å³/atom
# * mass density: 4.16 g/cm³